#1
{
  "formula": "BiMoH2",
  "functional": "PBE",
  "state": "relaxed",
  "lattice": [[0.0000, 3.0001, 3.0001], [3.0001, 0.0000, 3.0001], [3.0001, 3.0001, 0.0000]],
  "species": ["Bi", "Mo", "H", "H"],
  "fractional_positions": [[0.0000, 0.0000, 0.0000], [0.5000, 0.5000, 0.5000], [0.2500, 0.2500, 0.2500], [0.7500, 0.7500, 0.7500]],
  "dos_ef_per_ev_fu": 1.9,
  "spacegroup": "Fm-3m (225)"
}

#2
{
  "formula": "BiMoH2",
  "functional": "PBE",
  "state": "relaxed",
  "lattice": [[-2.5168, 2.5168, 4.2285], [2.5168, -2.5168, 4.2285], [2.5168, 2.5168, -4.2285]],
  "species": ["Bi", "Bi", "Mo", "Mo", "H", "H", "H", "H"],
  "fractional_positions": [[0.0000, 0.0000, 0.0000], [0.7500, 0.2500, 0.5000], [0.2500, 0.7500, 0.5000], [0.5000, 0.5000, 0.0000], [0.2433, 0.6250, 0.1183], [0.3750, 0.4933, 0.6183], [0.5067, 0.1250, 0.8817], [0.8750, 0.7567, 0.3817]],
  "dos_ef_per_ev_fu": 2.1,
  "spacegroup": "I-42d (122)"
}

Here is how they stack up, most stable first: #2, #1.

#1
{
  "formula": "BiHN",
  "functional": "PBE",
  "state": "relaxed",
  "lattice": [[-1.7092, 1.7092, 4.7664], [1.7092, -1.7092, 4.7664], [1.7092, 1.7092, -4.7664]],
  "species": ["Bi", "H", "N"],
  "fractional_positions": [[0.0000, 0.0000, 0.0000], [0.6747, 0.6747, 0.0000], [0.5661, 0.5661, 0.0000]],
  "dos_ef_per_ev_fu": 1.5,
  "spacegroup": "I4mm (107)"
}

#2
{
  "formula": "BiHN",
  "functional": "PBE",
  "state": "relaxed",
  "lattice": [[3.4720, 0.0000, 0.0000], [0.0000, 4.5118, 0.0000], [0.0000, 0.0000, 6.0454]],
  "species": ["Bi", "Bi", "H", "H", "N", "N"],
  "fractional_positions": [[0.2500, 0.2500, 0.1835], [0.7500, 0.7500, 0.8165], [0.2500, 0.7500, 0.6043], [0.7500, 0.2500, 0.3957], [0.2500, 0.7500, 0.0717], [0.7500, 0.2500, 0.9283]],
  "dos_ef_per_ev_fu": 0.8,
  "spacegroup": "Pmmn (59)"
}

Here is how they stack up, most stable first: #1, #2.

#1
{
  "formula": "BiHSN2",
  "functional": "PBE",
  "state": "relaxed",
  "lattice": [[4.2955, 0.0000, 0.0000], [0.0000, 4.2955, 0.0000], [0.0000, 0.0000, 3.2127]],
  "species": ["Bi", "H", "S", "N", "N"],
  "fractional_positions": [[0.0000, 0.0000, 0.0000], [0.5000, 0.5000, 0.5000], [0.5000, 0.5000, 0.0000], [0.0000, 0.5000, 0.5000], [0.5000, 0.0000, 0.5000]],
  "dos_ef_per_ev_fu": 2.2,
  "spacegroup": "P4/mmm (123)"
}

#2
{
  "formula": "BiHSN2",
  "functional": "PBE",
  "state": "relaxed",
  "lattice": [[4.5435, 0.0000, 0.0000], [0.0000, 4.5435, 0.0000], [0.0000, 0.0000, 5.2876]],
  "species": ["Bi", "H", "S", "N", "N"],
  "fractional_positions": [[0.0000, 0.0000, 0.0000], [0.5000, 0.5000, 0.5000], [0.0000, 0.0000, 0.5000], [0.0000, 0.5000, 0.0000], [0.5000, 0.0000, 0.0000]],
  "dos_ef_per_ev_fu": 2.0,
  "spacegroup": "P4/mmm (123)"
}

Here is how they stack up, most stable first: #1, #2.

#1
{
  "formula": "BiHS2N",
  "functional": "PBE",
  "state": "relaxed",
  "lattice": [[5.2975, 0.0000, 0.0000], [0.0000, 5.2975, 0.0000], [0.0000, 0.0000, 4.7236]],
  "species": ["Bi", "H", "S", "S", "N"],
  "fractional_positions": [[0.0000, 0.0000, 0.0000], [0.5000, 0.5000, 0.5000], [0.0000, 0.5000, 0.0000], [0.5000, 0.0000, 0.0000], [0.0000, 0.0000, 0.5000]],
  "dos_ef_per_ev_fu": 5.8,
  "spacegroup": "P4/mmm (123)"
}

#2
{
  "formula": "BiHS2N",
  "functional": "PBE",
  "state": "relaxed",
  "lattice": [[3.5131, 0.0000, 0.0000], [0.0000, 3.5131, 0.0000], [0.0000, 0.0000, 6.7020]],
  "species": ["Bi", "H", "S", "S", "N"],
  "fractional_positions": [[0.0000, 0.0000, 0.0000], [0.5000, 0.5000, 0.5000], [0.0000, 0.5000, 0.5000], [0.5000, 0.0000, 0.5000], [0.5000, 0.5000, 0.0000]],
  "dos_ef_per_ev_fu": 2.2,
  "spacegroup": "P4/mmm (123)"
}

Here is how they stack up, most stable first: #2, #1.

#1
{
  "formula": "BiHSeN2",
  "functional": "PBE",
  "state": "relaxed",
  "lattice": [[4.4991, 0.0000, 0.0000], [0.0000, 4.4991, 0.0000], [0.0000, 0.0000, 5.6689]],
  "species": ["Bi", "H", "Se", "N", "N"],
  "fractional_positions": [[0.0000, 0.0000, 0.0000], [0.5000, 0.5000, 0.5000], [0.0000, 0.0000, 0.5000], [0.0000, 0.5000, 0.0000], [0.5000, 0.0000, 0.0000]],
  "dos_ef_per_ev_fu": 2.6,
  "spacegroup": "P4/mmm (123)"
}

#2
{
  "formula": "BiHSeN2",
  "functional": "PBE",
  "state": "relaxed",
  "lattice": [[4.3691, 0.0000, 0.0000], [0.0000, 4.3691, 0.0000], [0.0000, 0.0000, 3.3311]],
  "species": ["Bi", "H", "Se", "N", "N"],
  "fractional_positions": [[0.0000, 0.0000, 0.0000], [0.5000, 0.5000, 0.5000], [0.5000, 0.5000, 0.0000], [0.0000, 0.5000, 0.5000], [0.5000, 0.0000, 0.5000]],
  "dos_ef_per_ev_fu": 1.8,
  "spacegroup": "P4/mmm (123)"
}

Here is how they stack up, most stable first: #2, #1.

#1
{
  "formula": "BiTe2HN",
  "functional": "PBE",
  "state": "relaxed",
  "lattice": [[4.1814, 0.0000, 0.0000], [0.0000, 4.1814, 0.0000], [0.0000, 0.0000, 5.8830]],
  "species": ["Bi", "Te", "Te", "H", "N"],
  "fractional_positions": [[0.0000, 0.0000, 0.0000], [0.0000, 0.5000, 0.5000], [0.5000, 0.0000, 0.5000], [0.5000, 0.5000, 0.5000], [0.5000, 0.5000, 0.0000]],
  "dos_ef_per_ev_fu": 4.2,
  "spacegroup": "P4/mmm (123)"
}

#2
{
  "formula": "BiTe2HN",
  "functional": "PBE",
  "state": "relaxed",
  "lattice": [[6.1037, 0.0000, 0.0000], [0.0000, 6.1037, 0.0000], [0.0000, 0.0000, 4.6361]],
  "species": ["Bi", "Te", "Te", "H", "N"],
  "fractional_positions": [[0.0000, 0.0000, 0.0000], [0.0000, 0.5000, 0.0000], [0.5000, 0.0000, 0.0000], [0.5000, 0.5000, 0.5000], [0.0000, 0.0000, 0.5000]],
  "dos_ef_per_ev_fu": 4.5,
  "spacegroup": "P4/mmm (123)"
}

Here is how they stack up, most stable first: #1, #2.